No. 1
{"formula": "LiNi3N", "functional": "GGA-PBEsol", "state": "relaxed", "lattice_angstrom": [[3.772, 0.000, 0.000], [0.000, 3.772, 0.000], [0.000, 0.000, 3.772]], "species": ["Ni", "Ni", "Ni", "N", "Li"], "fractional_positions": [[0.000, 0.000, 0.500], [0.500, 0.000, 0.000], [0.000, 0.500, 0.000], [0.500, 0.500, 0.500], [0.000, 0.000, 0.000]], "e_above_lowest_polymorph_mev_per_atom": 2021, "sg": "Pm-3m"}

---

No. 2
{"formula": "Li6Ni2N3", "functional": "GGA-PBEsol", "state": "relaxed", "lattice_angstrom": [[3.482, 0.000, 0.000], [0.000, 6.338, 0.000], [0.000, -3.169, 5.518]], "species": ["Li", "Li", "Li", "Li", "Li", "Li", "N", "N", "N", "Ni", "Ni"], "fractional_positions": [[0.500, 0.742, 0.756], [0.500, 0.286, 0.000], [0.500, 0.986, 0.244], [0.500, 0.670, 0.331], [0.000, 0.619, 0.000], [0.500, 0.340, 0.669], [0.500, 0.362, 0.361], [0.500, 0.001, 0.639], [0.500, 0.629, 0.000], [0.000, 0.363, 0.362], [0.000, 0.001, 0.638]], "sg": "Amm2"}

---

No. 3
{"formula": "LiNi3N", "functional": "GGA-PBEsol", "state": "relaxed", "lattice_angstrom": [[-3.207, -1.144, 1.423], [1.800, -2.463, 2.077], [0.306, 2.499, 2.698]], "species": ["Ni", "Ni", "Ni", "Li", "N"], "fractional_positions": [[0.500, 0.000, 0.000], [0.000, 0.000, 0.500], [0.000, 0.500, 0.000], [0.500, 0.500, 0.500], [0.000, 0.000, 0.000]], "e_above_lowest_polymorph_mev_per_atom": 0, "sg": "Pm-3m"}

---

No. 4
{"formula": "LiP2NO", "functional": "GGA-PBEsol", "state": "relaxed", "lattice_angstrom": [[3.784, 0.000, 0.000], [0.000, 3.784, 0.000], [0.000, 0.000, 4.265]], "species": ["P", "P", "O", "Li", "N"], "fractional_positions": [[0.500, 0.000, 0.000], [0.000, 0.500, 0.000], [0.000, 0.000, 0.500], [0.500, 0.500, 0.500], [0.000, 0.000, 0.000]], "sg": "P4/mmm"}

---

No. 5
{"formula": "LiPbN2O", "functional": "GGA-PBEsol", "state": "relaxed", "lattice_angstrom": [[-0.627, -3.330, 2.604], [0.594, -2.752, -3.376], [4.308, -0.133, 0.867]], "species": ["O", "N", "N", "Pb", "Li"], "fractional_positions": [[0.500, 0.000, 0.000], [0.000, 0.000, 0.500], [0.000, 0.500, 0.000], [0.000, 0.000, 0.000], [0.500, 0.500, 0.500]], "sg": "P4/mmm"}

---

No. 6
{"formula": "RbLiN2O", "functional": "GGA-PBEsol", "state": "relaxed", "lattice_angstrom": [[-1.839, 3.394, 0.053], [-3.766, -2.024, -1.088], [-0.929, -0.571, 4.275]], "species": ["Rb", "N", "N", "O", "Li"], "fractional_positions": [[0.500, 0.500, 0.500], [0.000, 0.500, 0.000], [0.000, 0.000, 0.500], [0.500, 0.000, 0.000], [0.000, 0.000, 0.000]], "sg": "P4/mmm"}

---

No. 7
{"formula": "LiScNO2", "functional": "GGA-PBEsol", "state": "relaxed", "lattice_angstrom": [[3.413, 0.000, 0.000], [0.000, 3.567, 0.000], [0.000, 0.000, 3.567]], "species": ["Li", "O", "O", "N", "Sc"], "fractional_positions": [[0.000, 0.000, 0.000], [0.000, 0.500, 0.000], [0.000, 0.000, 0.500], [0.500, 0.000, 0.000], [0.500, 0.500, 0.500]], "sg": "P4/mmm"}

---

No. 8
{"formula": "SrLiN2O", "functional": "GGA-PBEsol", "state": "relaxed", "lattice_angstrom": [[-4.016, 0.760, 1.956], [-1.052, -4.771, -0.304], [2.009, -0.724, 4.405]], "species": ["N", "N", "Sr", "O", "Li"], "fractional_positions": [[0.000, 0.500, 0.000], [0.000, 0.000, 0.500], [0.000, 0.000, 0.000], [0.500, 0.000, 0.000], [0.500, 0.500, 0.500]], "sg": "P4/mmm"}

---

No. 9
{"formula": "LiWN2O", "functional": "GGA-PBEsol", "state": "relaxed", "lattice_angstrom": [[3.269, 0.000, 0.000], [0.000, 3.476, 0.000], [0.000, 0.000, 3.476]], "species": ["N", "N", "W", "Li", "O"], "fractional_positions": [[0.000, 0.000, 0.500], [0.000, 0.500, 0.000], [0.500, 0.500, 0.500], [0.000, 0.000, 0.000], [0.500, 0.000, 0.000]], "sg": "P4/mmm"}

---

No. 10
{"formula": "LiOsN3", "functional": "GGA-PBEsol", "state": "relaxed", "lattice_angstrom": [[3.448, 0.000, 0.000], [0.000, 3.448, 0.000], [0.000, 0.000, 3.448]], "species": ["N", "N", "N", "Os", "Li"], "fractional_positions": [[0.000, 0.000, 0.500], [0.000, 0.500, 0.000], [0.500, 0.000, 0.000], [0.500, 0.500, 0.500], [0.000, 0.000, 0.000]], "sg": "Pm-3m"}

---

No. 11
{"formula": "LiOsN2", "functional": "GGA-PBEsol", "state": "relaxed", "lattice_angstrom": [[4.604, 0.000, 0.000], [0.000, 4.604, 0.000], [-2.302, -2.302, 4.549]], "species": ["N", "N", "N", "N", "Os", "Os", "Li", "Li"], "fractional_positions": [[0.625, 0.666, 0.750], [0.916, 0.375, 0.250], [0.125, 0.084, 0.750], [0.334, 0.875, 0.250], [0.250, 0.750, 0.500], [0.000, 0.000, 0.000], [0.500, 0.500, 0.000], [0.750, 0.250, 0.500]], "sg": "I-42d"}

---

No. 12
{"formula": "Li6OsN4", "functional": "GGA-PBEsol", "state": "relaxed", "lattice_angstrom": [[-4.413, 0.709, 1.626], [-2.310, -4.577, -4.273], [0.928, -4.754, 4.591]], "species": ["Li", "Li", "Li", "Li", "Li", "Li", "Li", "Li", "Li", "Li", "Li", "Li", "N", "N", "N", "N", "N", "N", "N", "N", "Os", "Os"], "fractional_positions": [[0.000, 0.710, 0.290], [0.000, 0.290, 0.710], [0.500, 0.790, 0.210], [0.390, 0.000, 0.500], [0.500, 0.790, 0.790], [0.000, 0.290, 0.290], [0.610, 0.500, 0.000], [0.000, 0.710, 0.710], [0.110, 0.500, 0.000], [0.500, 0.210, 0.790], [0.500, 0.210, 0.210], [0.890, 0.000, 0.500], [0.671, 0.753, 0.500], [0.171, 0.000, 0.747], [0.329, 0.500, 0.753], [0.329, 0.500, 0.247], [0.829, 0.747, 0.000], [0.829, 0.253, 0.000], [0.671, 0.247, 0.500], [0.171, 0.000, 0.253], [0.500, 0.500, 0.500], [0.000, 0.000, 0.000]], "sg": "P4_2/nmc"}

---

| no. | E (eV/f.u.) | formation energy without anion corrections (meV/atom) |
| --- | --- | --- |
| 1 | -19.91 | 1811 |
| 2 | -53.97 | -388 |
| 3 | -30.01 | -210 |
| 4 | -24.04 | 658 |
| 5 | -23.16 | 1021 |
| 6 | -19.82 | 1094 |
| 7 | -31.30 | -740 |
| 8 | -21.37 | 947 |
| 9 | -33.73 | 869 |
| 10 | -29.04 | 2144 |
| 11 | -31.34 | -26 |
| 12 | -63.38 | -478 |